Cr2HgRu | Alexandria via LeMat-Bulk | PBE | optimized geometry; DOS at the Fermi energy = 3.983 states/eV/cell; total magnetic moment = 0.44 μB per formula unit; symmetry = Imm2; formation energy from the elements = 0.451 eV/atom; raw total energy = -0.2482 Ha/atom
1.0
-2.137 -4.730 -0.549
2.480 -4.017 2.226
-2.390 4.584 0.715
Ru Cr Hg
1 2 1
direct
0.226 0.726 0.500
0.775 0.275 0.500
0.994 0.994 0.000
0.504 0.504 0.000


K4LiU3S12 | Alexandria via LeMat-Bulk | PBE | optimized geometry; DOS at the Fermi energy = 9.149 states/eV/cell; total magnetic moment = 0.00 μB per formula unit; symmetry = Im-3m; raw total energy = -0.2084 Ha/atom; formation energy without anion corrections = -1.19 eV/atom
1.0
8.922 0.000 0.000
-2.974 8.412 0.000
-2.974 -4.206 7.285
U S Li K
3 12 1 4
direct
0.500 0.500 0.000
0.000 0.500 0.500
0.500 0.000 0.500
0.262 0.262 0.000
0.750 0.250 0.500
0.000 0.738 0.738
0.738 0.738 0.000
0.000 0.262 0.262
0.250 0.750 0.500
0.250 0.500 0.750
0.500 0.750 0.250
0.750 0.500 0.250
0.738 0.000 0.738
0.500 0.250 0.750
0.262 0.000 0.262
0.000 0.000 0.000
0.500 0.000 0.000
0.500 0.500 0.500
0.000 0.000 0.500
0.000 0.500 0.000


MgTlCu2Cl6 | Alexandria via LeMat-Bulk | PBE | optimized geometry; DOS at the Fermi energy = 11.516 states/eV/cell; total magnetic moment = 1.04 μB per formula unit; symmetry = C2/c; raw total energy = -0.1206 Ha/atom; formation energy without anion corrections = -0.96 eV/atom
1.0
-5.685 -5.054 -2.199
-0.254 -7.158 5.694
-7.770 1.827 4.474
Cl Cu Mg Tl
12 4 2 2
direct
0.673 0.827 0.944
0.022 0.609 0.153
0.173 0.944 0.827
0.327 0.173 0.056
0.978 0.391 0.847
0.478 0.847 0.391
0.913 0.279 0.408
0.827 0.056 0.173
0.413 0.408 0.279
0.522 0.153 0.609
0.587 0.592 0.721
0.087 0.721 0.592
0.337 0.748 0.645
0.837 0.645 0.748
0.163 0.355 0.252
0.663 0.252 0.355
0.250 0.174 0.826
0.750 0.826 0.174
0.750 0.187 0.813
0.250 0.813 0.187


LaGa4Sn | Alexandria via LeMat-Bulk | PBE | optimized geometry; DOS at the Fermi energy = 5.069 states/eV/cell; total magnetic moment = 0.00 μB per formula unit; symmetry = F-43m; formation energy from the elements = -0.275 eV/atom; raw total energy = -0.1390 Ha/atom
1.0
5.713 0.000 0.000
2.857 4.948 0.000
2.857 1.649 4.665
Ga Sn La
4 1 1
direct
0.626 0.626 0.626
0.626 0.626 0.123
0.626 0.123 0.626
0.123 0.626 0.626
0.000 0.000 0.000
0.250 0.250 0.250


What is the formula in the first record? Cr2HgRu


The highest DOS at the Fermi energy belongs to which entry? MgTlCu2Cl6


Copy entry 4 word for word.
LaGa4Sn | Alexandria via LeMat-Bulk | PBE | optimized geometry; DOS at the Fermi energy = 5.069 states/eV/cell; total magnetic moment = 0.00 μB per formula unit; symmetry = F-43m; formation energy from the elements = -0.275 eV/atom; raw total energy = -0.1390 Ha/atom
1.0
5.713 0.000 0.000
2.857 4.948 0.000
2.857 1.649 4.665
Ga Sn La
4 1 1
direct
0.626 0.626 0.626
0.626 0.626 0.123
0.626 0.123 0.626
0.123 0.626 0.626
0.000 0.000 0.000
0.250 0.250 0.250